No. 1
BaNbGe2S8: relaxed, PBE.

Results
size of the total moment: 0.059 μB per atom
E: -5.1429 eV per atom
density: 3653 kg/m3

Lattice parameters (Å, degrees): 6.1734 6.1734 8.7045 90.00 90.00 120.00
Element x y z (fractional)
Ba1 0.0000 0.0000 0.0000
Nb1 0.0000 0.0000 0.5000
Ge1 0.6667 0.3333 0.2672
Ge2 0.3333 0.6667 0.7328
S1 0.3333 0.6667 0.9859
S2 0.3128 0.3314 0.3337
S3 0.6686 0.9814 0.3337
S4 0.6667 0.3333 0.0141
S5 0.3314 0.0186 0.6663
S6 0.6872 0.6686 0.6663
S7 0.9814 0.3128 0.6663
S8 0.0186 0.6872 0.3337


No. 2
BeBi3Cl: relaxed, PBE.

Results
size of the total moment: 0.000 μB per atom
E: -3.1425 eV per atom
density: 8162 kg/m3

Lattice parameters (Å, degrees): 5.1500 5.1500 5.1500 90.00 90.00 90.00
Element x y z (fractional)
Be1 0.0000 0.0000 0.0000
Bi1 0.0000 0.5000 0.0000
Bi2 0.0000 0.0000 0.5000
Bi3 0.5000 0.0000 0.0000
Cl1 0.5000 0.5000 0.5000


No. 3
AcCeHg5: relaxed, PBE.

Results
ΔE_f: -0.274 eV/atom
size of the total moment: 0.148 μB per atom
E: -1.9238 eV per atom
density: 10973 kg/m3

Lattice parameters (Å, degrees): 5.3717 5.3716 7.1854 90.00 90.00 90.00
Element x y z (fractional)
Ac1 0.0000 0.0000 0.5000
Ce1 0.5000 0.5000 0.0000
Hg1 0.0000 0.5000 0.7758
Hg2 0.0000 0.5000 0.2242
Hg3 0.5000 0.0000 0.7758
Hg4 0.5000 0.0000 0.2242
Hg5 0.5000 0.5000 0.5000


No. 4
ZrAl3P: relaxed, PBE.

Results
ΔE_f: 1.320 eV/atom
size of the total moment: 0.000 μB per atom
E: -3.7175 eV per atom
density: 2354 kg/m3

Lattice parameters (Å, degrees): 5.2327 5.2327 5.2327 90.00 90.00 90.00
Element x y z (fractional)
P1 0.5000 0.5000 0.5000
Al1 0.0000 0.5000 0.0000
Al2 0.0000 0.0000 0.5000
Al3 0.5000 0.0000 0.0000
Zr1 0.0000 0.0000 0.0000


No. 5
Pm2SnPd: relaxed, PBE.

Results
ΔE_f: -0.695 eV/atom
size of the total moment: 0.044 μB per atom
E: -5.3693 eV per atom
density: 8163 kg/m3

Lattice parameters (Å, degrees): 5.2919 5.2919 5.2919 60.00 60.00 60.00
Element x y z (fractional)
Sn1 0.0000 0.0000 0.0000
Pd1 0.5000 0.5000 0.5000
Pm1 0.2500 0.2500 0.2500
Pm2 0.7500 0.7500 0.7500


No. 6
Ga4CuPd: relaxed, PBE.

Results
ΔE_f: -0.219 eV/atom
size of the total moment: 0.000 μB per atom
E: -3.7851 eV per atom
density: 7388 kg/m3

Lattice parameters (Å, degrees): 5.1345 7.2867 6.9377 120.51 110.19 92.71
Element x y z (fractional)
Ga1 0.0649 0.2261 0.8217
Ga2 0.7528 0.6797 0.6554
Ga3 0.2568 0.5955 0.8217
Ga4 0.4027 0.9758 0.6554
Ga5 0.5973 0.0242 0.3446
Ga6 0.7432 0.4045 0.1783
Ga7 0.2472 0.3203 0.3446
Ga8 0.9351 0.7739 0.1783
Cu1 0.2291 0.9791 0.9583
Cu2 0.7709 0.0209 0.0417
Pd1 0.3762 0.6262 0.2525
Pd2 0.6238 0.3738 0.7475


No. 7
BeIn: relaxed, PBE.

Results
ΔE_f: 0.323 eV/atom
size of the total moment: 0.000 μB per atom
E: -2.9090 eV per atom
density: 5681 kg/m3

Lattice parameters (Å, degrees): 3.8105 4.8907 11.6542 90.00 90.00 90.00
Element x y z (fractional)
Be1 0.0000 0.0497 0.5879
Be2 0.5000 0.9503 0.9121
Be3 0.5000 0.9503 0.0879
Be4 0.0000 0.0497 0.4121
Be5 0.0000 0.8536 0.0000
Be6 0.5000 0.1464 0.5000
In1 0.0000 0.7525 0.7772
In2 0.5000 0.2475 0.7228
In3 0.5000 0.2475 0.2772
In4 0.0000 0.7525 0.2228
In5 0.0000 0.5665 0.5000
In6 0.5000 0.4335 0.0000


No. 8
Th2ZnGa: relaxed, PBE.

Results
ΔE_f: -0.331 eV/atom
size of the total moment: 0.000 μB per atom
E: -5.1165 eV per atom
density: 9778 kg/m3

Lattice parameters (Å, degrees): 4.1378 6.0380 8.7367 111.18 90.00 90.00
Element x y z (fractional)
Th1 0.7500 0.2087 0.4226
Th2 0.2500 0.7913 0.5774
Th3 0.2500 0.7904 0.0684
Th4 0.7500 0.2096 0.9316
Zn1 0.2500 0.3681 0.2169
Zn2 0.7500 0.6319 0.7831
Ga1 0.7500 0.6481 0.2874
Ga2 0.2500 0.3519 0.7126